(1)
# La2ZrMo

A relaxed La2ZrMo crystal (GGA-PBE, Alexandria).

```
La2ZrMo
1.0
1.8057 -2.7680 0.0000
1.8057 2.7680 0.0000
0.0000 0.0000 10.5963
La Zr Mo
2 1 1
Direct
0.0000 0.0000 0.0000
0.5000 0.5000 0.3317
0.5000 0.5000 0.7276
0.0000 0.0000 0.5417
```

The energy above the most stable polymorph in this dataset is 36 kJ/mol of formula units. As for the crystal system: orthorhombic. The calculation puts the calculated formation energy at 0.29 eV per atom.


(2)
# ThNbSe6

A relaxed ThNbSe6 crystal (GGA-PBE, Alexandria).

```
ThNbSe6
1.0
5.2522 0.0000 0.0000
-1.2072 5.9080 0.0000
-0.1424 -1.4256 6.6479
Th Nb Se
1 1 6
Direct
0.0000 0.0000 0.0000
0.5000 0.5000 0.5000
0.1476 0.2492 0.6731
0.1762 0.5174 0.2151
0.4668 0.8677 0.7590
0.5332 0.1323 0.2410
0.8238 0.4826 0.7849
0.8524 0.7508 0.3269
```

As for the crystal system: triclinic. The calculation puts the uncorrected formation energy at -0.757 eV/atom.


(3)
# Ho4AlGa2

A relaxed Ho4AlGa2 crystal (GGA-PBE, Alexandria).

```
Ho4AlGa2
1.0
6.8403 0.0000 0.0000
3.3979 7.3327 0.0000
3.4007 -0.1530 7.3581
Ho Al Ga
8 2 4
Direct
0.0044 0.2277 0.2708
0.0305 0.7811 0.1607
0.4699 0.3384 0.7193
0.4958 0.2290 0.2718
0.5042 0.7710 0.7282
0.5301 0.6616 0.2807
0.9695 0.2189 0.8393
0.9956 0.7723 0.7292
0.2499 0.0013 0.4996
0.7501 0.9987 0.5004
0.0000 0.5000 0.0000
0.0000 0.5000 0.5000
0.5000 0.0000 0.0000
0.5000 0.5000 0.0000
```

As for the crystal system: triclinic. The calculation puts the calculated formation energy at -0.22 eV per atom.